Entry from Alexandria via LeMat-Bulk: a PBEsol-optimized structure of TiBiCl2 (SCAN).

POSCAR file:
```
TiBiCl2
1.0
8.1956 0.0000 0.0000
0.0000 8.1956 0.0000
0.0000 0.0000 5.7056
Ti Bi Cl
4 4 8
direct
0.0000 0.0000 0.0000
0.0000 0.5000 0.2500
0.5000 0.0000 0.7500
0.5000 0.5000 0.5000
0.0000 0.0000 0.5000
0.0000 0.5000 0.7500
0.5000 0.0000 0.2500
0.5000 0.5000 0.0000
0.1303 0.7500 0.1250
0.2500 0.1303 0.8750
0.2500 0.3697 0.3750
0.3697 0.7500 0.6250
0.6303 0.2500 0.6250
0.7500 0.6303 0.3750
0.7500 0.8697 0.8750
0.8697 0.2500 0.1250
```

Formation energy (no corrections): -0.6475 eV/atom
Symmetry: I-42d, No. 122
N(E_F): 0.826 states/eV/atom